Entry 1:
Computed, not measured: a geometry-optimized Ba2Mn3Se6O18 structure at the PBE+U level of DFT.

The value obtained for the spin magnetization is 26.0 μB per cell. The value obtained for the total DFT energy (no corrections) is -354.304 eV/cell.

a = 5.5619 Å, b = 9.2377 Å, c = 18.2052 Å
α = 90.00°, β = 94.59°, γ = 90.00°
Last column: nearest neighbours and their distance in Å.
Space group P2_1/c (No. 14)
Unique sites:
Ba (0.0182, 0.1621, 0.2962)  8 O 2.75-2.95
Mn (0.0000, 0.0000, 0.5000)  6 O 2.22-2.25
Mn (0.4868, 0.0017, 0.8355)  4 O 1.94-2.08
Se (0.0068, 0.1402, 0.0688)  3 O 1.71-1.77
Se (0.4943, 0.1499, 0.6883)  3 O 1.72-1.77
Se (0.4965, 0.2019, 0.4523)  3 O 1.72-1.77
O (0.0988, 0.1838, 0.5776)  1 Se 1.71
O (0.1459, 0.6141, 0.3533)  1 Se 1.73
O (0.2385, 0.6357, 0.0767)  1 Se 1.72
O (0.2625, 0.6033, 0.7518)  1 Se 1.72
O (0.2749, 0.0378, 0.0834)  1 Se 1.77, 1 Mn 1.94
O (0.2816, 0.0680, 0.7407)  1 Se 1.75
O (0.2917, 0.0654, 0.4307)  1 Se 1.72
O (0.3909, 0.1840, 0.8783)  1 Se 1.77, 1 Mn 1.95
O (0.4373, 0.1725, 0.2186)  1 Se 1.77, 1 Mn 1.95

***

Entry 2:
Computed, not measured: a geometry-optimized BaMnSiO6 structure at the PBE+U level of DFT.

The density of states at the Fermi level comes out at 0.660 states/eV per atom. The value obtained for the spin magnetization is 1.0 μB per cell. The value obtained for the total DFT energy (no corrections) is -61.341 eV/cell.

a = 4.9346 Å, b = 4.9346 Å, c = 5.8723 Å
α = 90.00°, β = 90.00°, γ = 120.00°
Last column: nearest neighbours and their distance in Å.
Space group P312 (No. 149)
Unique sites:
Ba (0.0000, 0.0000, 0.0000)  6 O 2.69
Mn (0.3333, 0.6667, 0.5000)  6 O 1.91
Si (0.6667, 0.3333, 0.5000)  6 O 1.79
O (0.3958, 0.0184, 0.6762)  1 Si 1.79, 1 Mn 1.91

***

Entry 3:
Computed, not measured: a geometry-optimized BaSr2Mn2Si4O14 structure at the PBE+U level of DFT.

The density of states at the Fermi level comes out at 0.000 states/eV per atom. The value obtained for the spin magnetization is 16.0 μB per cell. The value obtained for the total DFT energy (no corrections) is -345.862 eV/cell.

a = 14.8363 Å, b = 7.8742 Å, c = 5.2333 Å
α = 90.00°, β = 93.20°, γ = 90.00°
Last column: nearest neighbours and their distance in Å.
Space group C2 (No. 5)
Unique sites:
Ba (0.0000, 0.0000, 0.0000)  6 O 2.70-2.90
Sr (0.2039, 0.6782, 0.9811)  6 O 2.46-2.73
Mn (0.0000, 0.4716, 0.0000)  4 O 1.92-2.00
Mn (0.0000, 0.6660, 0.5000)  2 O 1.89
Si (0.1312, 0.3495, 0.4611)  4 O 1.62-1.70
Si (0.1742, 0.9726, 0.5131)  4 O 1.61-1.70
O (0.0605, 0.6500, 0.1916)  2 Mn 1.89-1.92
O (0.0631, 0.2964, 0.2204)  1 Si 1.62
O (0.0967, 0.8577, 0.6352)  1 Si 1.62
O (0.0989, 0.4879, 0.6682)  1 Si 1.63
O (0.1627, 0.1723, 0.6220)  2 Si 1.68-1.69
O (0.1843, 0.9673, 0.2087)  1 Si 1.61
O (0.2275, 0.4144, 0.3301)  2 Si 1.70

***

Entry 4:
Computed, not measured: a geometry-optimized BaSmMn2O8 structure at the PBE+U level of DFT.

The density of states at the Fermi level comes out at 0.618 states/eV per atom. The value obtained for the spin magnetization is 3.0 μB per cell. The value obtained for the total DFT energy (no corrections) is -82.255 eV/cell.

a = 5.7005 Å, b = 5.7005 Å, c = 7.7992 Å
α = 90.00°, β = 90.00°, γ = 120.00°
Last column: nearest neighbours and their distance in Å.
Space group P-3 (No. 147)
Unique sites:
Ba (0.0000, 0.0000, 0.0000)  6 O 2.86
Sm (0.0000, 0.0000, 0.5000)  6 O 2.31
Mn (0.3333, 0.6667, 0.7733)  4 O 1.65-1.70
O (0.1682, 0.3406, 0.7029)  1 Mn 1.70
O (0.3333, 0.6667, 0.9854)  1 Mn 1.65

***

Entry 5:
Computed, not measured: a geometry-optimized BaSmMn2O5 structure at the PBE+U level of DFT.

The density of states at the Fermi level comes out at 0.181 states/eV per atom. The value obtained for the spin magnetization is 9.0 μB per cell. The value obtained for the total DFT energy (no corrections) is -67.853 eV/cell.

a = 4.0043 Å, b = 4.0043 Å, c = 7.8841 Å
α = 90.00°, β = 90.00°, γ = 90.00°
Last column: nearest neighbours and their distance in Å.
Space group P4/mmm (No. 123)
Unique sites:
Ba (0.0000, 0.0000, 0.0000)  4 O 2.83
Sm (0.0000, 0.0000, 0.5000)  8 O 2.48
Mn (0.5000, 0.5000, 0.2630)  5 O 2.04-2.07
O (0.0000, 0.5000, 0.3145)  2 Mn 2.04
O (0.5000, 0.5000, 0.0000)  2 Mn 2.07

***

Entry 6:
Computed, not measured: a geometry-optimized Ba3MnSn2O9 structure at the PBE+U level of DFT.

The density of states at the Fermi level comes out at 0.083 states/eV per atom. The value obtained for the spin magnetization is 3.0 μB per cell. The value obtained for the total DFT energy (no corrections) is -97.057 eV/cell.

a = 5.8264 Å, b = 5.8264 Å, c = 7.1271 Å
α = 90.00°, β = 90.00°, γ = 120.00°
Last column: nearest neighbours and their distance in Å.
Space group P-3m1 (No. 164)
Unique sites:
Ba (0.0000, 0.0000, 0.0000)  12 O 2.91
Ba (0.3333, 0.6667, 0.6630)  12 O 2.89-2.93
Mn (0.0000, 0.0000, 0.5000)  6 O 1.99
Sn (0.3333, 0.6667, 0.1724)  6 O 2.08-2.11
O (0.0000, 0.5000, 0.0000)  2 Sn 2.08
O (0.1612, 0.3223, 0.3392)  1 Mn 1.99, 1 Sn 2.11

***

Entry 7:
Computed, not measured: a geometry-optimized Ba4MnSn3O12 structure at the PBE+U level of DFT.

The value obtained for the spin magnetization is 6.0 μB per cell. The value obtained for the total DFT energy (no corrections) is -257.239 eV/cell.

a = 8.2733 Å, b = 8.2733 Å, c = 8.2733 Å
α = 90.00°, β = 90.00°, γ = 90.00°
Last column: nearest neighbours and their distance in Å.
Space group Im-3m (No. 229)
Unique sites:
Ba (0.2500, 0.2500, 0.2500)  12 O 2.93
Mn (0.0000, 0.0000, 0.0000)  6 O 2.01
Sn (0.0000, 0.0000, 0.5000)  6 O 2.07-2.13
O (0.0000, 0.0000, 0.2425)  1 Mn 2.01, 1 Sn 2.13
O (0.0000, 0.2500, 0.5000)  2 Sn 2.07

***

Entry 8:
Computed, not measured: a geometry-optimized BaMnSnWO6 structure at the PBE+U level of DFT.

The density of states at the Fermi level comes out at 0.000 states/eV per atom. The value obtained for the spin magnetization is 20.0 μB per cell. The value obtained for the total DFT energy (no corrections) is -280.501 eV/cell.

a = 8.2592 Å, b = 8.2592 Å, c = 8.2592 Å
α = 90.00°, β = 90.00°, γ = 90.00°
Last column: nearest neighbours and their distance in Å.
Space group F-43m (No. 216)
Unique sites:
Ba (0.0000, 0.0000, 0.0000)  12 O 2.92
Mn (0.2500, 0.2500, 0.2500)  6 O 2.17
Sn (0.0000, 0.0000, 0.5000)  12 O 2.92
W (0.2500, 0.2500, 0.7500)  6 O 1.96
O (0.0133, 0.2500, 0.7500)  1 W 1.96, 1 Mn 2.17

***

Entry 9:
Computed, not measured: a geometry-optimized Ba2SrMn2O6 structure at the PBE+U level of DFT.

The density of states at the Fermi level comes out at 0.076 states/eV per atom. The value obtained for the spin magnetization is 12.0 μB per cell. The value obtained for the total DFT energy (no corrections) is -212.827 eV/cell.

a = 6.0162 Å, b = 6.0162 Å, c = 19.2173 Å
α = 90.00°, β = 90.00°, γ = 120.00°
Last column: nearest neighbours and their distance in Å.
Space group R-3m (No. 166, hexagonal axes)
Unique sites:
Ba (0.0000, 0.0000, 0.2090)  9 O 2.82-3.07
Sr (0.0000, 0.0000, 0.0000)  6 O 2.50
Mn (0.0000, 0.0000, 0.4177)  3 O 1.74
O (0.0006, 0.5003, 0.2397)  1 Mn 1.74

***

Entry 10:
Computed, not measured: a geometry-optimized Ba3SrMn2O6 structure at the PBE+U level of DFT.

The density of states at the Fermi level comes out at 0.149 states/eV per atom. The value obtained for the spin magnetization is 10.0 μB per cell. The value obtained for the total DFT energy (no corrections) is -76.245 eV/cell.

a = 6.4036 Å, b = 6.4036 Å, c = 6.9579 Å
α = 90.00°, β = 90.00°, γ = 120.00°
Last column: nearest neighbours and their distance in Å.
Space group P-3m1 (No. 164)
Unique sites:
Ba (0.0000, 0.0000, 0.0000)  6 O 2.76
Ba (0.3333, 0.6667, 0.6224)  9 O 2.94-3.27, 1 Mn 3.15
Sr (0.0000, 0.0000, 0.5000)  6 O 2.43
Mn (0.3333, 0.6667, 0.1692)  3 O 1.95
O (0.1732, 0.3463, 0.2855)  1 Mn 1.95

***

Entry 11:
Computed, not measured: a geometry-optimized BaSrMnO3 structure at the PBE+U level of DFT.

The density of states at the Fermi level comes out at 0.105 states/eV per atom. The value obtained for the spin magnetization is 16.0 μB per cell. The value obtained for the total DFT energy (no corrections) is -156.947 eV/cell.

a = 13.7246 Å, b = 4.0856 Å, c = 7.5093 Å
α = 90.00°, β = 105.74°, γ = 90.00°
Last column: nearest neighbours and their distance in Å.
Space group C2/m (No. 12)
Unique sites:
Ba (0.1463, 0.0000, 0.0750)  7 O 2.67-2.88
Sr (0.1500, 0.0000, 0.5721)  7 O 2.58-2.69
Mn (0.0009, 0.5000, 0.2597)  4 O 2.02-2.05
O (0.0008, 0.0000, 0.2726)  2 Mn 2.05
O (0.1518, 0.5000, 0.8067)  1 Mn 2.02
O (0.1549, 0.5000, 0.3433)  1 Mn 2.04

***

Entry 12:
Computed, not measured: a geometry-optimized Ba2SrMnO6 structure at the PBE+U level of DFT.

The density of states at the Fermi level comes out at 0.793 states/eV per atom. The value obtained for the spin magnetization is 4.0 μB per cell. The value obtained for the total DFT energy (no corrections) is -250.519 eV/cell.

a = 8.6132 Å, b = 8.6132 Å, c = 8.6132 Å
α = 90.00°, β = 90.00°, γ = 90.00°
Last column: nearest neighbours and their distance in Å.
Space group Fm-3m (No. 225)
Unique sites:
Ba (0.2500, 0.2500, 0.2500)  12 O 3.05
Sr (0.0000, 0.0000, 0.0000)  6 O 2.40
Mn (0.0000, 0.0000, 0.5000)  6 O 1.91
O (0.0000, 0.0000, 0.2781)  1 Mn 1.91

***

- Which of these has the highest total DFT energy (no corrections)?
  BaMnSiO6